Entry 1:
Material: VGaAu
Method: DFT, GGA-PBE
State: relaxed

Cell: 2.721 2.721 7.398 Å, 100.60 100.60 90.00°
Each line ends with the local moment (μB).
Sites, in units of the cell vectors:
1 Au 0.129 0.129 0.258  0.00
2 Ga 0.948 0.948 0.895  0.00
3 V 0.774 0.774 0.547  0.23

Results
* symmetry: I4mm, No. 107
* energy relative to the elements: 259.8 meV/atom
* magnetic moment: 0.08 μB per atom

***

Entry 2:
Material: Ca2ScTa
Method: DFT, GGA-PBE
State: relaxed

Cell: 5.366 5.366 5.366 Å, 60.00 60.00 60.00°
Each line ends with the local moment (μB).
Sites, in units of the cell vectors:
1 Sc 0.000 0.000 0.000  -0.05
2 Ca 0.250 0.250 0.250  0.05
3 Ca 0.750 0.750 0.750  0.05
4 Ta 0.500 0.500 0.500  1.07

Results
* symmetry: Fm-3m, No. 225
* energy relative to the elements: 814.4 meV/atom
* magnetic moment: 0.46 μB per atom

***

Entry 3:
Material: Ce2SbO2
Method: DFT, GGA-PBE
State: relaxed

Cell: 7.009 7.009 7.009 Å, 146.92 146.92 47.48°
Each line ends with the local moment (μB).
Sites, in units of the cell vectors:
1 Ce 0.655 0.655 0.000  0.55
2 Ce 0.345 0.345 0.000  0.55
3 Sb 0.000 0.000 0.000  -0.05
4 O 0.750 0.250 0.500  -0.02
5 O 0.250 0.750 0.500  -0.02

Results
* symmetry: I4/mmm, No. 139
* magnetic moment: 0.21 μB per atom
* E_form (uncorrected): -2658 meV per atom